Li3Tb2PdO6 after structural relaxation, computed with PBE.

abc: 5.7188 5.7188 5.3223
angles: 98.51 98.51 121.27
Last column: nearest neighbours and their distance in Å.
Positions (direct):
1 Li 0.0000 0.0000 0.0000  6 O 2.32
2 Li 0.3634 0.6366 0.0000  4 O 2.13-2.16
3 Li 0.6366 0.3634 0.0000  4 O 2.13-2.16
4 Tb 0.1700 0.8300 0.5000  6 O 2.27-2.33
5 Tb 0.8300 0.1700 0.5000  6 O 2.27-2.33
6 Pd 0.5000 0.5000 0.5000  6 O 2.09-2.25
7 O 0.1011 0.4253 0.2499  2 Li 2.16-2.32, 1 Pd 2.25, 2 Tb 2.27-2.30
8 O 0.2596 0.2596 0.7340  1 Pd 2.09, 3 Li 2.13-2.32, 2 Tb 2.33
9 O 0.4253 0.1011 0.2499  2 Li 2.16-2.32, 1 Pd 2.25, 2 Tb 2.27-2.30
10 O 0.5747 0.8989 0.7501  2 Li 2.16-2.32, 1 Pd 2.25, 2 Tb 2.27-2.30
11 O 0.7404 0.7404 0.2660  1 Pd 2.09, 3 Li 2.13-2.32, 2 Tb 2.33
12 O 0.8989 0.5747 0.7501  2 Li 2.16-2.32, 1 Pd 2.25, 2 Tb 2.27-2.30

Properties
space-group type = C2/m, No. 12
theoretical density = 6.334 g/cm3
final energy = -0.23251 hartree per atom
formation energy from raw total energies = -2.17 eV/atom



LiTi2PdO after structural relaxation, computed with PBE.

abc: 4.1142 4.1142 3.8190
angles: 90.00 90.00 90.00
Last column: nearest neighbours and their distance in Å.
Positions (direct):
1 Li 0.0000 0.0000 0.0000  2 O 1.91
2 Ti 0.0000 0.5000 0.5000  2 O 2.06
3 Ti 0.5000 0.0000 0.5000  2 O 2.06
4 Pd 0.5000 0.5000 0.0000  8 Ti 2.81, 4 Li 2.91
5 O 0.0000 0.0000 0.5000  2 Li 1.91, 4 Ti 2.06

Properties
space-group type = P4/mmm, No. 123
theoretical density = 5.782 g/cm3
final energy = -0.25051 hartree per atom
formation energy from raw total energies = -1.25 eV/atom